(1)
Computed, not measured: a geometry-optimized BaSiTe2 structure at the PBE-GGA level of DFT.

Cell lengths 6.975, 6.975, 8.897 Å; angles 66.92, 66.92, 90.00 degrees
Fractional coordinates of all 8 atoms:
Si1 0.500 0.500 0.000
Si2 0.250 0.750 0.500
Te1 0.546 0.125 0.250
Te2 0.204 0.625 0.250
Te3 0.375 0.454 0.750
Te4 0.875 0.796 0.750
Ba1 0.000 0.000 0.000
Ba2 0.750 0.250 0.500

Total magnetic moment = 0.0 μB/cell
Raw formation energy = -496 meV/atom
Symmetry = I-42d (122)

(2)
Computed, not measured: a geometry-optimized BaSi3Te structure at the PBE-GGA level of DFT.

Cell lengths 5.768, 5.768, 5.768 Å; angles 90.00, 90.00, 90.00 degrees
Fractional coordinates of all 5 atoms:
Si1 0.000 0.500 0.000
Si2 0.000 0.000 0.500
Si3 0.500 0.000 0.000
Te1 0.500 0.500 0.500
Ba1 0.000 0.000 0.000

ΔE to the lowest computed polymorph = 1.1202 eV/atom
Total magnetic moment = 0.0 μB/cell
Raw formation energy = 1770 meV/atom
Symmetry = Pm-3m (221)

(3)
Computed, not measured: a geometry-optimized BaSiTe structure at the PBE-GGA level of DFT.

Cell lengths 5.764, 5.764, 5.764 Å; angles 130.77, 130.82, 72.14 degrees
Fractional coordinates of all 3 atoms:
Ba1 0.007 0.007 0.000
Si1 0.363 0.363 0.000
Te1 0.631 0.631 0.000

ΔE to the lowest computed polymorph = 0.0875 eV/atom
Total magnetic moment = 0.0 μB/cell
Raw formation energy = -392 meV/atom
Symmetry = I4mm (107)

(4)
Computed, not measured: a geometry-optimized Ba3Si5Te12 structure at the PBE-GGA level of DFT.

Cell lengths 15.345, 15.345, 15.345 Å; angles 109.47, 109.47, 109.47 degrees
Fractional coordinates of all 80 atoms:
Ba1 0.750 0.375 0.125
Ba2 0.875 0.750 0.125
Ba3 0.375 0.750 0.625
Ba4 0.250 0.125 0.375
Ba5 0.875 0.125 0.250
Ba6 0.375 0.625 0.250
Ba7 0.625 0.375 0.750
Ba8 0.125 0.875 0.750
Ba9 0.750 0.875 0.625
Ba10 0.625 0.250 0.375
Ba11 0.125 0.250 0.875
Ba12 0.250 0.625 0.875
Si1 0.125 0.375 0.250
Si2 0.000 0.500 0.000
Si3 0.000 0.000 0.000
Si4 0.375 0.250 0.125
Si5 0.500 0.000 0.500
Si6 0.500 0.500 0.000
Si7 0.125 0.750 0.375
Si8 0.750 0.125 0.875
Si9 0.750 0.625 0.375
Si10 0.375 0.125 0.750
Si11 0.625 0.875 0.250
Si12 0.500 0.500 0.500
Si13 0.500 0.000 0.000
Si14 0.000 0.000 0.500
Si15 0.250 0.375 0.625
Si16 0.250 0.875 0.125
Si17 0.000 0.500 0.500
Si18 0.875 0.250 0.625
Si19 0.625 0.750 0.875
Si20 0.875 0.625 0.750
Te1 0.700 0.111 0.017
Te2 0.317 0.517 0.406
Te3 0.983 0.389 0.300
Te4 0.517 0.200 0.111
Te5 0.588 0.700 0.683
Te6 0.983 0.594 0.183
Te7 0.317 0.800 0.412
Te8 0.094 0.912 0.111
Te9 0.594 0.983 0.683
Te10 0.700 0.588 0.183
Te11 0.800 0.483 0.389
Te12 0.817 0.906 0.017
Te13 0.111 0.700 0.517
Te14 0.389 0.406 0.088
Te15 0.088 0.906 0.389
Te16 0.412 0.111 0.594
Te17 0.088 0.183 0.200
Te18 0.483 0.683 0.094
Te19 0.817 0.912 0.300
Te20 0.111 0.412 0.094
Te21 0.389 0.983 0.800
Te22 0.594 0.611 0.412
Te23 0.906 0.817 0.517
Te24 0.800 0.317 0.912
Te25 0.406 0.389 0.588
Te26 0.094 0.183 0.483
Te27 0.200 0.683 0.088
Te28 0.183 0.088 0.700
Te29 0.611 0.017 0.200
Te30 0.889 0.588 0.906
Te31 0.517 0.317 0.906
Te32 0.588 0.889 0.406
Te33 0.912 0.817 0.800
Te34 0.912 0.094 0.611
Te35 0.889 0.300 0.483
Te36 0.183 0.094 0.983
Te37 0.611 0.594 0.912
Te38 0.406 0.017 0.317
Te39 0.300 0.412 0.817
Te40 0.200 0.517 0.611
Te41 0.906 0.088 0.889
Te42 0.683 0.200 0.588
Te43 0.483 0.800 0.889
Te44 0.017 0.406 0.817
Te45 0.412 0.300 0.317
Te46 0.017 0.611 0.700
Te47 0.683 0.483 0.594
Te48 0.300 0.889 0.983

Total magnetic moment = 0.0 μB/cell
Raw formation energy = -436 meV/atom
Symmetry = Ia-3d (230)

(5)
Computed, not measured: a geometry-optimized BaSiTe2 structure at the PBE-GGA level of DFT.

Cell lengths 5.622, 5.622, 5.622 Å; angles 60.00, 60.00, 60.00 degrees
Fractional coordinates of all 4 atoms:
Ba1 0.500 0.500 0.500
Si1 0.750 0.750 0.750
Te1 0.000 0.000 0.000
Te2 0.250 0.250 0.250

Total magnetic moment = 0.0 μB/cell
Raw formation energy = -58 meV/atom
Symmetry = F-43m (216)

(6)
Computed, not measured: a geometry-optimized Ba2SiTe structure at the PBE-GGA level of DFT.

Cell lengths 6.989, 4.939, 4.932 Å; angles 90.00, 90.00, 89.99 degrees
Fractional coordinates of all 4 atoms:
Ba1 0.000 0.875 0.875
Ba2 0.500 0.376 0.375
Si1 0.000 0.374 0.375
Te1 0.500 0.876 0.875

ΔE to the lowest computed polymorph = 0.0217 eV/atom
Total magnetic moment = 1.8 μB/cell
Raw formation energy = -719 meV/atom
Symmetry = Pmm2 (25)

Which formula does entry 6 have?
Ba2SiTe

The highest total magnetic moment belongs to which entry?
Ba2SiTe